No. 1
Computed, not measured: CdMo after structural relaxation at the PBE level of DFT.

## Properties
E: -65.809 eV per cell
Energy of formation: 0.389 eV per atom

Lattice parameters (Å, degrees): 2.8931 2.8931 30.1596 90.00 90.00 120.00
Space group R-3m (No. 166, hexagonal axes)
Symmetry-distinct sites (fractional):
Cd (0.0000, 0.0000, 0.1211) x6
Mo (0.0000, 0.0000, 0.3707) x6

No. 2
Computed, not measured: CdMo2 after structural relaxation at the PBE level of DFT.

## Properties
E: -82.225 eV per cell
Energy of formation: 0.674 eV per atom

Lattice parameters (Å, degrees): 2.974 2.974 25.039 90.00 90.00 90.00
Space group I4_1/amd (No. 141, origin choice 2)
Symmetry-distinct sites (fractional):
Cd (0.000, 0.250, 0.375) x4
Mo (0.000, 0.250, 0.788) x8

No. 3
Computed, not measured: CdMo2 after structural relaxation at the PBE level of DFT.

## Properties
E: -72.551 eV per cell
Energy of formation: 1.480 eV per atom

Lattice parameters (Å, degrees): 6.380 6.380 6.380 90.00 90.00 90.00
Space group Pa-3 (No. 205)
Symmetry-distinct sites (fractional):
Cd (0.000, 0.000, 0.000) x4
Mo (0.099, 0.599, 0.901) x8

No. 4
Computed, not measured: CdMo after structural relaxation at the PBE level of DFT.

## Properties
E: -65.669 eV per cell
Energy of formation: 0.401 eV per atom

Lattice parameters (Å, degrees): 11.038 3.044 6.976 90.00 104.84 90.00
Space group Cm (No. 8)
Symmetry-distinct sites (fractional):
Cd (0.000, 0.000, 0.000) x2
Cd (0.056, 0.000, 0.572) x2
Cd (0.331, 0.000, 0.662) x2
Mo (0.198, 0.500, 0.293) x2
Mo (0.220, 0.500, 0.941) x2
Mo (0.366, 0.000, 0.255) x2

No. 5
Computed, not measured: Cd2Mo after structural relaxation at the PBE level of DFT.

## Properties
E: -47.296 eV per cell
Energy of formation: 0.279 eV per atom

Lattice parameters (Å, degrees): 10.480 3.233 7.503 90.00 110.33 90.00
Space group C2/m (No. 12)
Symmetry-distinct sites (fractional):
Cd (0.014, 0.000, 0.234) x4
Cd (0.165, 0.500, 0.602) x4
Mo (0.187, 0.500, 0.059) x4

No. 6
Computed, not measured: CdMo after structural relaxation at the PBE level of DFT.

## Properties
E: -18.906 eV per cell
Energy of formation: 1.146 eV per atom

Lattice parameters (Å, degrees): 4.6923 4.6923 4.6648 90.00 90.00 120.00
Space group P6_3/mmc (No. 194)
Symmetry-distinct sites (fractional):
Cd (0.3333, 0.6667, 0.2500) x2
Mo (0.0000, 0.0000, 0.0000) x2

No. 7
Computed, not measured: CdMo after structural relaxation at the PBE level of DFT.

## Properties
E: -164.211 eV per cell
Energy of formation: 0.742 eV per atom

Lattice parameters (Å, degrees): 4.827 8.259 15.513 90.00 90.00 90.00
Space group Fddd (No. 70, origin choice 2)
Symmetry-distinct sites (fractional):
Cd (0.125, 0.290, 0.125) x16
Mo (0.125, 0.125, 0.543) x16

No. 8
Computed, not measured: CdMo2 after structural relaxation at the PBE level of DFT.

## Properties
E: -86.001 eV per cell
Energy of formation: 0.359 eV per atom

Lattice parameters (Å, degrees): 4.330 11.264 4.361 90.00 90.00 90.00
Space group Cmcm (No. 63)
Symmetry-distinct sites (fractional):
Cd (0.000, 0.078, 0.250) x4
Mo (0.000, 0.251, 0.750) x4
Mo (0.000, 0.385, 0.250) x4

No. 9
Computed, not measured: CdMo after structural relaxation at the PBE level of DFT.

## Properties
E: -15.454 eV per cell
Energy of formation: 2.010 eV per atom

Lattice parameters (Å, degrees): 4.6257 4.6257 5.4431 90.00 90.00 120.00
Space group P6_3/mmc (No. 194)
Symmetry-distinct sites (fractional):
Cd (0.3333, 0.6667, 0.2500) x2
Mo (0.3333, 0.6667, 0.7500) x2

No. 10
Computed, not measured: CdMo after structural relaxation at the PBE level of DFT.

## Properties
E: -45.065 eV per cell
Energy of formation: 0.240 eV per atom

Lattice parameters (Å, degrees): 3.228 4.697 9.788 90.00 90.00 90.00
Space group Cmme (No. 67)
Symmetry-distinct sites (fractional):
Cd (0.000, 0.250, 0.142) x4
Mo (0.000, 0.250, 0.603) x4

No. 11
Computed, not measured: CdMo2 after structural relaxation at the PBE level of DFT.

## Properties
E: -40.949 eV per cell
Energy of formation: 0.701 eV per atom

Lattice parameters (Å, degrees): 4.6409 4.6409 5.5211 90.00 90.00 120.00
Space group P6_3/mmc (No. 194)
Symmetry-distinct sites (fractional):
Cd (0.3333, 0.6667, 0.2500) x2
Mo (0.0000, 0.0000, 0.0000) x2
Mo (0.3333, 0.6667, 0.7500) x2

No. 12
Computed, not measured: CdMo2 after structural relaxation at the PBE level of DFT.

## Properties
E: -43.081 eV per cell
Energy of formation: 0.346 eV per atom

Lattice parameters (Å, degrees): 3.306 3.306 9.721 90.00 90.00 90.00
Space group I4/mmm (No. 139)
Symmetry-distinct sites (fractional):
Cd (0.000, 0.000, 0.000) x2
Mo (0.000, 0.000, 0.311) x4

No. 13
Computed, not measured: CdMo5 after structural relaxation at the PBE level of DFT.

## Properties
E: -212.491 eV per cell
Energy of formation: 0.325 eV per atom

Lattice parameters (Å, degrees): 7.423 7.423 7.423 90.00 90.00 90.00
Space group F-43m (No. 216)
Symmetry-distinct sites (fractional):
Cd (0.000, 0.000, 0.000) x4
Mo (0.125, 0.125, 0.625) x16
Mo (0.250, 0.250, 0.250) x4

No. 14
Computed, not measured: CdMo after structural relaxation at the PBE level of DFT.

## Properties
E: -20.436 eV per cell
Energy of formation: 0.764 eV per atom

Lattice parameters (Å, degrees): 2.8354 2.8354 10.7992 90.00 90.00 120.00
Space group P6_3mc (No. 186)
Symmetry-distinct sites (fractional):
Cd (0.3333, 0.6667, 0.0000) x2
Mo (0.3333, 0.6667, 0.2657) x2

No. 15
Computed, not measured: Cd2Mo after structural relaxation at the PBE level of DFT.

## Properties
E: -10.929 eV per cell
Energy of formation: 0.577 eV per atom

Lattice parameters (Å, degrees): 4.8083 4.8083 2.8574 90.00 90.00 120.00
Space group P6/mmm (No. 191)
Symmetry-distinct sites (fractional):
Cd (0.3333, 0.6667, 0.0000) x2
Mo (0.0000, 0.0000, 0.5000) x1

No. 16
Computed, not measured: CdMo after structural relaxation at the PBE level of DFT.

## Properties
E: -86.845 eV per cell
Energy of formation: 0.445 eV per atom

Lattice parameters (Å, degrees): 4.878 6.149 9.815 90.00 90.00 90.00
Space group P2_12_12_1 (No. 19)
Symmetry-distinct sites (fractional):
Cd (0.156, 0.238, 0.369) x4
Cd (0.159, 0.031, 0.633) x4
Mo (0.165, 0.743, 0.395) x4
Mo (0.167, 0.550, 0.614) x4

No. 17
Computed, not measured: Cd2Mo after structural relaxation at the PBE level of DFT.

## Properties
E: -43.671 eV per cell
Energy of formation: 0.581 eV per atom

Lattice parameters (Å, degrees): 2.857 15.794 5.068 90.00 90.00 90.00
Space group Cmcm (No. 63)
Symmetry-distinct sites (fractional):
Cd (0.000, 0.060, 0.250) x4
Cd (0.000, 0.272, 0.750) x4
Mo (0.000, 0.394, 0.250) x4

No. 18
Computed, not measured: CdMo after structural relaxation at the PBE level of DFT.

## Properties
E: -21.860 eV per cell
Energy of formation: 0.408 eV per atom

Lattice parameters (Å, degrees): 2.762 2.762 9.507 90.00 90.00 90.00
Space group P4/nmm (No. 129, origin choice 2)
Symmetry-distinct sites (fractional):
Cd (0.250, 0.250, 0.137) x2
Mo (0.250, 0.250, 0.619) x2

No. 19
Computed, not measured: CdMo2 after structural relaxation at the PBE level of DFT.

## Properties
E: -85.188 eV per cell
Energy of formation: 0.427 eV per atom

Lattice parameters (Å, degrees): 5.799 4.293 8.477 90.00 90.00 90.00
Space group Pnma (No. 62)
Symmetry-distinct sites (fractional):
Cd (0.131, 0.250, 0.073) x4
Mo (0.073, 0.250, 0.709) x4
Mo (0.129, 0.250, 0.406) x4

No. 20
Computed, not measured: Cd2Mo after structural relaxation at the PBE level of DFT.

## Properties
E: -21.085 eV per cell
Energy of formation: 0.706 eV per atom

Lattice parameters (Å, degrees): 4.8320 4.8320 5.7982 90.00 90.00 120.00
Space group P6_3/mmc (No. 194)
Symmetry-distinct sites (fractional):
Cd (0.0000, 0.0000, 0.0000) x2
Cd (0.3333, 0.6667, 0.2500) x2
Mo (0.3333, 0.6667, 0.7500) x2

No. 21
Computed, not measured: CdMo after structural relaxation at the PBE level of DFT.

## Properties
E: -10.045 eV per cell
Energy of formation: 0.851 eV per atom

Lattice parameters (Å, degrees): 3.289 3.289 3.289 90.00 90.00 90.00
Space group Pm-3m (No. 221)
Symmetry-distinct sites (fractional):
Cd (0.000, 0.000, 0.000) x1
Mo (0.500, 0.500, 0.500) x1

No. 22
Computed, not measured: Cd2Mo after structural relaxation at the PBE level of DFT.

## Properties
E: -46.435 eV per cell
Energy of formation: 0.351 eV per atom

Lattice parameters (Å, degrees): 11.590 3.012 6.820 90.00 102.75 90.00
Space group C2/m (No. 12)
Symmetry-distinct sites (fractional):
Cd (0.127, 0.000, 0.027) x4
Cd (0.201, 0.000, 0.647) x4
Mo (0.021, 0.500, 0.340) x4

No. 23
Computed, not measured: CdMo5 after structural relaxation at the PBE level of DFT.

## Properties
E: -105.134 eV per cell
Energy of formation: 0.417 eV per atom

Lattice parameters (Å, degrees): 4.740 2.636 15.962 90.00 90.00 90.00
Space group Amm2 (No. 38)
Symmetry-distinct sites (fractional):
Cd (0.000, 0.000, 0.000) x2
Mo (0.000, 0.000, 0.331) x2
Mo (0.000, 0.000, 0.666) x2
Mo (0.500, 0.000, 0.236) x2
Mo (0.500, 0.000, 0.572) x2
Mo (0.500, 0.000, 0.899) x2

No. 24
Computed, not measured: CdMo5 after structural relaxation at the PBE level of DFT.

## Properties
E: -51.708 eV per cell
Energy of formation: 0.560 eV per atom

Lattice parameters (Å, degrees): 5.3262 5.3262 4.4534 90.00 90.00 120.00
Space group P6/mmm (No. 191)
Symmetry-distinct sites (fractional):
Cd (0.0000, 0.0000, 0.0000) x1
Mo (0.0000, 0.5000, 0.5000) x3
Mo (0.3333, 0.6667, 0.0000) x2

No. 25
Computed, not measured: CdMo2 after structural relaxation at the PBE level of DFT.

## Properties
E: -81.486 eV per cell
Energy of formation: 0.735 eV per atom

Lattice parameters (Å, degrees): 6.534 6.534 5.163 90.00 90.00 90.00
Space group I4/mcm (No. 140)
Symmetry-distinct sites (fractional):
Cd (0.000, 0.000, 0.250) x4
Mo (0.124, 0.376, 0.000) x8

No. 26
Computed, not measured: Cd2Mo after structural relaxation at the PBE level of DFT.

## Properties
E: -11.464 eV per cell
Energy of formation: 0.399 eV per atom

Lattice parameters (Å, degrees): 2.9531 2.9531 7.5245 90.00 90.00 120.00
Space group P-3m1 (No. 164)
Symmetry-distinct sites (fractional):
Cd (0.3333, 0.6667, 0.1780) x2
Mo (0.0000, 0.0000, 0.5000) x1